Density functional theory data (SCAN) for a crystal of RbMgMn2Ni relaxed with PBEsol.

Unit cell a=4.606 b=4.606 c=5.118 alpha=90.00 beta=90.00 gamma=90.00
Site moments in Bohr magnetons follow the coordinates.
Element x y z (fractional)
Mg  0.000  0.000  0.500  -0.04
Mn  0.000  0.500  0.000  3.78
Mn  0.500  0.000  0.000  3.78
Rb  0.000  0.000  0.000  0.01
Ni  0.500  0.500  0.500  0.57

Results
The magnetic moment is 7.834 μB/cell. The formation energy comes out at 229.5 kJ per mole of atoms. Its space-group type is P4/mmm, No. 123.

***

Density functional theory data (SCAN) for a crystal of Ba2CdAu relaxed with PBEsol.

Unit cell a=4.652 b=4.665 c=8.708 alpha=105.40 beta=90.00 gamma=119.91
Element x y z (fractional)
Au  0.500  0.000  0.000
Ba  0.240  0.480  0.221
Ba  0.760  0.520  0.779
Cd  0.000  0.000  0.500

Results
The magnetic moment is 0.001 μB/cell. The formation energy comes out at -49.9 kJ per mole of atoms. Its space-group type is C2/m, No. 12.

***

Density functional theory data (SCAN) for a crystal of Ba2IrBr relaxed with PBEsol.

Unit cell a=3.776 b=3.770 c=8.228 alpha=90.00 beta=90.00 gamma=90.00
Element x y z (fractional)
Ba  0.000  0.000  0.284
Ba  0.000  0.000  0.716
Ir  0.500  0.500  0.500
Br  0.500  0.500  0.000

Results
The magnetic moment is 0.000 μB/cell. For the uncorrected formation energy, the calculation gives -944 meV per atom. Its space-group type is P4/mmm, No. 123.

***

Density functional theory data (SCAN) for a crystal of Li3Tm3Te2O12 relaxed with PBEsol.

Unit cell a=10.509 b=10.509 c=10.509 alpha=109.47 beta=109.47 gamma=109.47
Element x y z (fractional)
O  0.122  0.203  0.530
O  0.919  0.592  0.622
O  0.581  0.203  0.673
O  0.703  0.622  0.030
O  0.419  0.622  0.592
O  0.908  0.581  0.878
O  0.327  0.030  0.408
O  0.919  0.327  0.797
O  0.408  0.530  0.327
O  0.327  0.297  0.419
O  0.203  0.030  0.622
O  0.092  0.673  0.470
O  0.970  0.092  0.173
O  0.092  0.419  0.122
O  0.081  0.408  0.378
O  0.622  0.530  0.203
O  0.797  0.827  0.919
O  0.378  0.908  0.081
O  0.581  0.378  0.408
O  0.673  0.970  0.592
O  0.173  0.581  0.703
O  0.530  0.827  0.908
O  0.203  0.173  0.081
O  0.173  0.592  0.970
O  0.470  0.173  0.092
O  0.530  0.703  0.122
O  0.470  0.297  0.878
O  0.908  0.327  0.530
O  0.030  0.908  0.827
O  0.592  0.122  0.419
O  0.030  0.122  0.703
O  0.703  0.081  0.173
O  0.797  0.970  0.378
O  0.878  0.081  0.908
O  0.122  0.919  0.092
O  0.419  0.797  0.327
O  0.827  0.408  0.030
O  0.408  0.878  0.581
O  0.378  0.470  0.797
O  0.081  0.673  0.203
O  0.622  0.092  0.919
O  0.970  0.878  0.297
O  0.297  0.919  0.827
O  0.673  0.703  0.581
O  0.592  0.470  0.673
O  0.827  0.419  0.297
O  0.878  0.797  0.470
O  0.297  0.378  0.970
Li  0.125  0.250  0.375
Li  0.750  0.625  0.875
Li  0.250  0.875  0.625
Li  0.625  0.375  0.250
Li  0.375  0.750  0.125
Li  0.750  0.125  0.375
Li  0.375  0.625  0.750
Li  0.875  0.750  0.625
Li  0.125  0.875  0.250
Li  0.250  0.375  0.125
Li  0.875  0.125  0.750
Li  0.625  0.250  0.875
Tm  0.875  0.250  0.125
Tm  0.125  0.750  0.875
Tm  0.875  0.625  0.250
Tm  0.625  0.750  0.375
Tm  0.750  0.875  0.125
Tm  0.750  0.375  0.625
Tm  0.375  0.125  0.250
Tm  0.250  0.625  0.375
Tm  0.250  0.125  0.875
Tm  0.125  0.375  0.750
Tm  0.375  0.250  0.625
Tm  0.625  0.875  0.750
Te  0.500  0.500  0.000
Te  0.500  0.000  0.000
Te  0.000  0.000  0.000
Te  0.000  0.000  0.500
Te  0.500  0.000  0.500
Te  0.000  0.500  0.500
Te  0.000  0.500  0.000
Te  0.500  0.500  0.500

Results
The magnetic moment is 0.000 μB/cell. For the uncorrected formation energy, the calculation gives -2616 meV per atom. Its space-group type is Ia-3d, No. 230.

***

Density functional theory data (SCAN) for a crystal of CoMoRu3 relaxed with PBEsol.

Unit cell a=4.271 b=4.271 c=4.271 alpha=90.00 beta=90.00 gamma=90.00
Site moments in Bohr magnetons follow the coordinates.
Element x y z (fractional)
Ru  0.500  0.000  0.000  1.26
Ru  0.000  0.500  0.000  1.26
Ru  0.000  0.000  0.500  1.26
Mo  0.500  0.500  0.500  -1.91
Co  0.000  0.000  0.000  1.66

Results
The magnetic moment is 3.478 μB/cell. The formation energy comes out at 146.1 kJ per mole of atoms. Its space-group type is Pm-3m, No. 221.

***

Density functional theory data (SCAN) for a crystal of Ba4Ir3O10 relaxed with PBEsol.

Unit cell a=5.720 b=7.264 c=13.162 alpha=90.00 beta=90.00 gamma=112.33
Site moments in Bohr magnetons follow the coordinates.
Element x y z (fractional)
O  0.068  0.769  0.275  0.08
O  0.162  0.772  0.475  0.02
O  0.135  0.788  0.041  0.03
O  0.472  0.926  0.651  0.01
O  0.728  0.467  0.154  0.06
O  0.972  0.926  0.849  0.01
O  0.932  0.231  0.725  0.08
O  0.662  0.772  0.025  0.02
O  0.338  0.228  0.975  0.02
O  0.228  0.467  0.346  0.06
O  0.272  0.533  0.846  0.06
O  0.568  0.769  0.225  0.08
O  0.432  0.231  0.775  0.08
O  0.028  0.074  0.151  0.01
O  0.865  0.212  0.959  0.03
O  0.365  0.212  0.541  0.03
O  0.635  0.788  0.459  0.03
O  0.772  0.533  0.654  0.06
O  0.528  0.074  0.349  0.01
O  0.838  0.228  0.525  0.02
Ba  0.263  0.517  0.613  0.00
Ba  0.763  0.517  0.887  0.00
Ba  0.536  0.085  0.137  0.00
Ba  0.237  0.483  0.113  0.00
Ba  0.737  0.483  0.387  0.00
Ba  0.036  0.085  0.363  0.00
Ba  0.964  0.915  0.637  0.00
Ba  0.464  0.915  0.863  0.00
Ir  0.369  0.758  0.349  0.29
Ir  0.131  0.242  0.849  0.29
Ir  0.631  0.242  0.651  0.29
Ir  0.500  0.000  0.500  0.00
Ir  0.869  0.758  0.151  0.29
Ir  0.000  0.000  0.000  0.00

Results
The magnetic moment is 2.120 μB/cell. For the uncorrected formation energy, the calculation gives -1946 meV per atom. Its space-group type is P2_1/c, No. 14.